11
Lattice="-5.5717 5.0573 -0.0319 -0.4426 -0.4385 7.7733 6.6621 3.4508 0.5739" Properties=species:S:1:pos:R:3 comment="Ac7Mg2Rh2 | Alexandria | GGA-PBE | optimized geometry" ef_ev_per_atom=-0.22 m_tot_mub_per_cell=0.000 density_g_cm3=7.4 pbc="T T T"
Rh 3.0619 3.9236 0.3957
Rh -2.4141 4.1461 7.9197
Ac 0.2081 3.9201 6.1920
Ac 0.4397 4.1496 2.1234
Ac 3.2203 1.6158 2.2311
Ac -3.1177 2.1999 5.8133
Ac 3.7656 5.8698 2.5021
Ac 0.0000 0.0000 0.0000
Ac -2.5725 6.4539 6.0843
Mg 0.6867 6.8653 4.3380
Mg -0.0388 1.2043 3.9774